Entry from Alexandria via LeMat-Bulk: a geometry-optimized PmDyZnRh structure (GGA-PBE).

Results
Distance to the lowest polymorph of the same formula (meV/atom): 15
Crystal system: cubic

Geometry as CIF:
```
data_PmDyZnRh
_chemical_formula_sum 'Pm4 Dy4 Zn4 Rh4'
_cell_length_a 7.078
_cell_length_b 7.078
_cell_length_c 7.078
_cell_angle_alpha 90.00
_cell_angle_beta 90.00
_cell_angle_gamma 90.00
_symmetry_space_group_name_H-M 'F -4 3 m'
_symmetry_Int_Tables_number 216
_symmetry_space_group_name_Hall 'F -4 2 3'
loop_
_atom_site_label
_atom_site_fract_x
_atom_site_fract_y
_atom_site_fract_z
_atom_site_occupancy
Pm1 0.000 0.000 0.000 1
Dy1 0.000 0.000 0.500 1
Zn1 0.250 0.250 0.250 1
Rh1 0.250 0.250 0.750 1
```



Entry from Alexandria via LeMat-Bulk: a geometry-optimized PrInHgPb structure (GGA-PBE).

Results
Distance to the lowest polymorph of the same formula (meV/atom): 0
Crystal system: orthorhombic

Geometry as CIF:
```
data_PrInHgPb
_chemical_formula_sum 'Pr1 In1 Hg1 Pb1'
_cell_length_a 4.726
_cell_length_b 4.733
_cell_length_c 4.897
_cell_angle_alpha 90.00
_cell_angle_beta 90.00
_cell_angle_gamma 90.00
_symmetry_space_group_name_H-M 'P m m m'
_symmetry_Int_Tables_number 47
loop_
_symmetry_equiv_pos_as_xyz
'x,y,z'
'-x,-y,-z'
'-x,-y,z'
'x,y,-z'
'x,-y,-z'
'-x,y,z'
'-x,y,-z'
'x,-y,z'
loop_
_atom_site_label
_atom_site_fract_x
_atom_site_fract_y
_atom_site_fract_z
_atom_site_occupancy
Pr1 0.000 0.000 0.000 1
In1 0.000 0.500 0.500 1
Hg1 0.500 0.000 0.500 1
Pb1 0.500 0.500 0.000 1
```



Entry from Alexandria via LeMat-Bulk: a geometry-optimized Sc4RuBr5 structure (GGA-PBE).

Results
Uncorrected formation energy (eV per atom): -1.239
Crystal system: monoclinic

Geometry as CIF:
```
data_Sc4RuBr5
_chemical_formula_sum 'Sc8 Ru2 Br10'
_cell_length_a 17.395
_cell_length_b 3.726
_cell_length_c 8.412
_cell_angle_alpha 90.00
_cell_angle_beta 103.55
_cell_angle_gamma 90.00
_symmetry_space_group_name_H-M 'C 1 2/m 1'
_symmetry_Int_Tables_number 12
loop_
_symmetry_equiv_pos_as_xyz
'x,y,z'
'-x,-y,-z'
'-x,y,-z'
'x,-y,z'
'x+1/2,y+1/2,z'
'-x+1/2,-y+1/2,-z'
'-x+1/2,y+1/2,-z'
'x+1/2,-y+1/2,z'
loop_
_atom_site_label
_atom_site_fract_x
_atom_site_fract_y
_atom_site_fract_z
_atom_site_occupancy
Sc1 0.002 0.000 0.228 1
Sc2 0.141 0.500 0.073 1
Ru1 0.000 0.500 0.000 1
Br1 0.000 0.500 0.500 1
Br2 0.168 0.000 0.323 1
Br3 0.172 0.000 0.847 1
```



Entry from Alexandria via LeMat-Bulk: a geometry-optimized TmBIr structure (GGA-PBE).

Results
Distance to the lowest polymorph of the same formula (meV/atom): 0
Crystal system: hexagonal

Geometry as CIF:
```
data_TmBIr
_chemical_formula_sum 'Tm1 B1 Ir1'
_cell_length_a 3.6847
_cell_length_b 3.6847
_cell_length_c 4.1415
_cell_angle_alpha 90.00
_cell_angle_beta 90.00
_cell_angle_gamma 120.00
_symmetry_space_group_name_H-M 'P -6 m 2'
_symmetry_Int_Tables_number 187
_symmetry_space_group_name_Hall 'P -6 2'
loop_
_atom_site_label
_atom_site_fract_x
_atom_site_fract_y
_atom_site_fract_z
_atom_site_occupancy
Tm1 0.0000 0.0000 0.0000 1
B1 0.6667 0.3333 0.5000 1
Ir1 0.3333 0.6667 0.5000 1
```



Entry from Alexandria via LeMat-Bulk: a geometry-optimized LiHoThAl structure (GGA-PBE).

Results
Crystal system: cubic

Geometry as CIF:
```
data_LiHoThAl
_chemical_formula_sum 'Li4 Ho4 Th4 Al4'
_cell_length_a 7.327
_cell_length_b 7.327
_cell_length_c 7.327
_cell_angle_alpha 90.00
_cell_angle_beta 90.00
_cell_angle_gamma 90.00
_symmetry_space_group_name_H-M 'F -4 3 m'
_symmetry_Int_Tables_number 216
_symmetry_space_group_name_Hall 'F -4 2 3'
loop_
_atom_site_label
_atom_site_fract_x
_atom_site_fract_y
_atom_site_fract_z
_atom_site_occupancy
Li1 0.000 0.000 0.000 1
Ho1 0.250 0.250 0.750 1
Th1 0.250 0.250 0.250 1
Al1 0.000 0.000 0.500 1
```



Entry from Alexandria via LeMat-Bulk: a geometry-optimized LiTi2Tc structure (GGA-PBE).

Results
Crystal system: tetragonal

Geometry as CIF:
```
data_LiTi2Tc
_chemical_formula_sum 'Li1 Ti2 Tc1'
_cell_length_a 3.170
_cell_length_b 3.170
_cell_length_c 6.220
_cell_angle_alpha 90.00
_cell_angle_beta 90.00
_cell_angle_gamma 90.00
_symmetry_space_group_name_H-M 'P 4/m m m'
_symmetry_Int_Tables_number 123
_symmetry_space_group_name_Hall '-P 4 2'
loop_
_atom_site_label
_atom_site_fract_x
_atom_site_fract_y
_atom_site_fract_z
_atom_site_occupancy
Li1 0.000 0.000 0.000 1
Ti1 0.500 0.500 0.269 1
Tc1 0.000 0.000 0.500 1
```



Entry from Alexandria via LeMat-Bulk: a geometry-optimized Tl3I2O8 structure (GGA-PBE).

Results
Uncorrected formation energy (eV per atom): -0.370
Crystal system: trigonal

Geometry as CIF:
```
data_Tl3I2O8
_chemical_formula_sum 'Tl9 I6 O24'
_cell_length_a 6.4583
_cell_length_b 6.4583
_cell_length_c 21.9257
_cell_angle_alpha 90.00
_cell_angle_beta 90.00
_cell_angle_gamma 120.00
_symmetry_space_group_name_H-M 'R -3 m'
_symmetry_Int_Tables_number 166
_symmetry_space_group_name_Hall '-R 3 2"'
loop_
_atom_site_label
_atom_site_fract_x
_atom_site_fract_y
_atom_site_fract_z
_atom_site_occupancy
Tl1 0.0000 0.0000 0.0000 1
Tl2 0.0000 0.0000 0.1968 1
I1 0.0000 0.0000 0.4024 1
O1 0.0000 0.0000 0.3181 1
O2 0.0241 0.5120 0.2351 1
```



Entry from Alexandria via LeMat-Bulk: a geometry-optimized Cs2SiTeSe4 structure (GGA-PBE).

Results
Uncorrected formation energy (eV per atom): -0.471
Crystal system: monoclinic

Geometry as CIF:
```
data_Cs2SiTeSe4
_chemical_formula_sum 'Cs8 Si4 Te4 Se16'
_cell_length_a 11.373
_cell_length_b 11.079
_cell_length_c 10.012
_cell_angle_alpha 90.00
_cell_angle_beta 98.73
_cell_angle_gamma 90.00
_symmetry_space_group_name_H-M 'C 1 2/c 1'
_symmetry_Int_Tables_number 15
loop_
_symmetry_equiv_pos_as_xyz
'x,y,z'
'-x,-y,-z'
'-x,y,-z+1/2'
'x,-y,z+1/2'
'x+1/2,y+1/2,z'
'-x+1/2,-y+1/2,-z'
'-x+1/2,y+1/2,-z+1/2'
'x+1/2,-y+1/2,z+1/2'
loop_
_atom_site_label
_atom_site_fract_x
_atom_site_fract_y
_atom_site_fract_z
_atom_site_occupancy
Cs1 0.000 0.000 0.000 1
Cs2 0.250 0.250 0.000 1
Si1 0.250 0.250 0.500 1
Te1 0.000 0.500 0.000 1
Se1 0.099 0.285 0.634 1
Se2 0.196 0.422 0.366 1
```



Computed uncorrected energy, in the same sequence as the records: -5.045 -3.312 -5.536 -7.365 -4.537 -7.111 -4.206 -3.497 eV per atom.